Entry 1:
Ba2Zn2Cr | PBE | optimized geometry

Computed properties:
As for the formation energy: 1.88 eV per formula unit. Its space group is I4/mmm (139).

The structure in extended XYZ format:
```
5
Lattice="8.4911 -2.0106 5.7516 4.1478 -1.5809 9.4614 -6.8135 -1.0140 -7.8594" Properties=species:S:1:pos:R:3 pbc="T T T"
Ba 7.6902 -2.1853 9.2565
Ba 4.9487 -1.4062 5.9566
Zn 1.8269 -2.1953 4.6042
Zn 3.9985 -2.4102 2.7494
Cr 0.0000 0.0000 0.0000
```

---

Entry 2:
BaZnCr2 | PBE | optimized geometry

Computed properties:
As for the formation energy: 3.52 eV per formula unit. Its space group is I4_1/amd (141).

The structure in extended XYZ format:
```
8
Lattice="4.9686 0.0000 0.0000 0.0000 4.9686 0.0000 2.4843 2.4843 9.0554" Properties=species:S:1:pos:R:3 pbc="T T T"
Cr 2.4843 1.2421 2.2639
Cr 2.4843 3.7264 2.2639
Cr 3.7264 4.9685 6.7916
Cr 6.2107 4.9686 6.7916
Zn 2.4843 2.4843 0.0000
Zn 2.4843 4.9686 4.5277
Ba 0.0000 0.0000 0.0000
Ba 4.9686 2.4843 4.5277
```